Material: Y2ThPaCo2
Method: DFT, PBE
State: relaxed

abc: 7.0735 12.1876 6.9452
angles: 90.00 90.00 90.00
Space group Ibam (No. 72)
Inequivalent atoms, fractional coordinates:
1 Y 0.1986 0.2044 0.0000 [8 per cell]
2 Th 0.0000 0.5000 0.2500 [4 per cell]
3 Pa 0.0000 0.0000 0.2500 [4 per cell]
4 Co 0.2186 0.0746 0.5000 [8 per cell]

The formation energy comes out at -0.20 eV per atom. The theoretical density comes out at 8.42 g/cm3. The value obtained for the total energy is -181.03 eV per cell.


Material: Zn2ReSe
Method: DFT, PBE
State: relaxed

abc: 2.9217 4.3191 12.0218
angles: 90.00 90.00 90.00
Space group Imm2 (No. 44)
Inequivalent atoms, fractional coordinates:
1 Zn 0.0000 0.0000 0.0000 [2 per cell]
2 Zn 0.0000 0.5000 0.1444 [2 per cell]
3 Re 0.0000 0.0000 0.4590 [2 per cell]
4 Se 0.0000 0.5000 0.7952 [2 per cell]

For the uncorrected formation energy, the calculation gives 214 meV per atom. The theoretical density comes out at 8.67 g/cm3. For the offset from the most stable computed form, the calculation gives 0.09 eV per formula unit. The value obtained for the total energy is -35.25 eV per cell.


Material: RbLi2ZnCd
Method: DFT, PBE
State: relaxed

abc: 5.3928 5.3928 6.7863
angles: 90.00 90.00 90.00
Space group P4/mmm (No. 123)
Inequivalent atoms, fractional coordinates:
1 Rb 0.0000 0.0000 0.0000 [1 per cell]
2 Li 0.0000 0.5000 0.5000 [2 per cell]
3 Zn 0.5000 0.5000 0.0000 [1 per cell]
4 Cd 0.0000 0.0000 0.5000 [1 per cell]

The formation energy comes out at 0.32 eV per atom. The theoretical density comes out at 2.33 g/cm3. The value obtained for the total energy is -5.36 eV per cell.